Run w
This record from Alexandria describes crystalline Ti2Cu4Pd3 at its relaxed geometry. The functional is PBE-GGA.

The structure in CIF format:
```
data_Ti2Cu4Pd3
_symmetry_space_group_name_H-M 'C 1 2/m 1'
_symmetry_Int_Tables_number 12
_cell_length_a 8.793
_cell_length_b 3.750
_cell_length_c 8.213
_cell_angle_alpha 90.00
_cell_angle_beta 111.92
_cell_angle_gamma 90.00
loop_
_symmetry_equiv_pos_as_xyz
'x,y,z'
'-x,-y,-z'
'-x,y,-z'
'x,-y,z'
'x+1/2,y+1/2,z'
'-x+1/2,-y+1/2,-z'
'-x+1/2,y+1/2,-z'
'x+1/2,-y+1/2,z'
loop_
_atom_site_label
_atom_site_type_symbol
_atom_site_fract_x
_atom_site_fract_y
_atom_site_fract_z
_atom_site_occupancy
Ti1 Ti 0.168 0.000 0.228 1
Cu1 Cu 0.006 0.500 0.674 1
Cu2 Cu 0.167 0.000 0.894 1
Pd1 Pd 0.000 0.500 0.000 1
Pd2 Pd 0.170 0.000 0.566 1
```

***

Run x
This record from Alexandria describes crystalline Ti2Cu4Pd3 at its relaxed geometry. The functional is PBE-GGA.

The structure in CIF format:
```
data_Ti2Cu4Pd3
_symmetry_space_group_name_H-M 'C 1 2/c 1'
_symmetry_Int_Tables_number 15
_cell_length_a 12.142
_cell_length_b 9.147
_cell_length_c 4.676
_cell_angle_alpha 90.00
_cell_angle_beta 98.56
_cell_angle_gamma 90.00
loop_
_symmetry_equiv_pos_as_xyz
'x,y,z'
'-x,-y,-z'
'-x,y,-z+1/2'
'x,-y,z+1/2'
'x+1/2,y+1/2,z'
'-x+1/2,-y+1/2,-z'
'-x+1/2,y+1/2,-z+1/2'
'x+1/2,-y+1/2,z+1/2'
loop_
_atom_site_label
_atom_site_type_symbol
_atom_site_fract_x
_atom_site_fract_y
_atom_site_fract_z
_atom_site_occupancy
Ti1 Ti 0.218 0.126 0.340 1
Cu1 Cu 0.048 0.372 0.523 1
Cu2 Cu 0.107 0.142 0.792 1
Pd1 Pd 0.000 0.109 0.250 1
Pd2 Pd 0.169 0.387 0.093 1
```

***

Stability ranking, top entry: run w; the second entry is 103 meV per atom less favorable.

***

Run w
This record from Alexandria describes crystalline TlCu2Pd at its relaxed geometry. The functional is PBE-GGA.

The structure in CIF format:
```
data_TlCu2Pd
_symmetry_space_group_name_H-M 'P 4/m m m'
_symmetry_Int_Tables_number 123
_symmetry_space_group_name_Hall '-P 4 2'
_cell_length_a 4.075
_cell_length_b 4.075
_cell_length_c 3.781
_cell_angle_alpha 90.00
_cell_angle_beta 90.00
_cell_angle_gamma 90.00
loop_
_atom_site_label
_atom_site_type_symbol
_atom_site_fract_x
_atom_site_fract_y
_atom_site_fract_z
_atom_site_occupancy
Tl1 Tl 0.000 0.000 0.000 1
Cu1 Cu 0.000 0.500 0.500 1
Pd1 Pd 0.500 0.500 0.000 1
```

***

Run x
This record from Alexandria describes crystalline TlCu2Pd at its relaxed geometry. The functional is PBE-GGA.

The structure in CIF format:
```
data_TlCu2Pd
_symmetry_space_group_name_H-M 'F m -3 m'
_symmetry_Int_Tables_number 225
_symmetry_space_group_name_Hall '-F 4 2 3'
_cell_length_a 6.298
_cell_length_b 6.298
_cell_length_c 6.298
_cell_angle_alpha 90.00
_cell_angle_beta 90.00
_cell_angle_gamma 90.00
loop_
_atom_site_label
_atom_site_type_symbol
_atom_site_fract_x
_atom_site_fract_y
_atom_site_fract_z
_atom_site_occupancy
Tl1 Tl 0.000 0.000 0.000 1
Cu1 Cu 0.250 0.250 0.250 1
Pd1 Pd 0.000 0.000 0.500 1
```

***

Stability ranking, top entry: run w; the second entry is 29 meV per atom less favorable.

***

Run w
This record from Alexandria describes crystalline TlCu3Pd6 at its relaxed geometry. The functional is PBE-GGA.

The structure in CIF format:
```
data_TlCu3Pd6
_symmetry_space_group_name_H-M 'P 1 21/m 1'
_symmetry_Int_Tables_number 11
_cell_length_a 7.881
_cell_length_b 4.272
_cell_length_c 9.188
_cell_angle_alpha 90.00
_cell_angle_beta 100.88
_cell_angle_gamma 90.00
loop_
_symmetry_equiv_pos_as_xyz
'x,y,z'
'-x,-y,-z'
'-x,y+1/2,-z'
'x,-y+1/2,z'
loop_
_atom_site_label
_atom_site_type_symbol
_atom_site_fract_x
_atom_site_fract_y
_atom_site_fract_z
_atom_site_occupancy
Tl1 Tl 0.061 0.250 0.385 1
Cu1 Cu 0.256 0.250 0.017 1
Cu2 Cu 0.353 0.750 0.818 1
Cu3 Cu 0.456 0.250 0.601 1
Pd1 Pd 0.062 0.750 0.914 1
Pd2 Pd 0.161 0.750 0.207 1
Pd3 Pd 0.174 0.250 0.720 1
Pd4 Pd 0.268 0.750 0.523 1
Pd5 Pd 0.380 0.250 0.306 1
Pd6 Pd 0.462 0.750 0.103 1
```

***

Run x
This record from Alexandria describes crystalline TlCu3Pd6 at its relaxed geometry. The functional is PBE-GGA.

The structure in CIF format:
```
data_TlCu3Pd6
_symmetry_space_group_name_H-M 'C m c 21'
_symmetry_Int_Tables_number 36
_cell_length_a 9.680
_cell_length_b 11.954
_cell_length_c 5.446
_cell_angle_alpha 90.00
_cell_angle_beta 90.00
_cell_angle_gamma 90.00
loop_
_symmetry_equiv_pos_as_xyz
'x,y,z'
'-x,-y,z+1/2'
'-x,y,z'
'x,-y,z+1/2'
'x+1/2,y+1/2,z'
'-x+1/2,-y+1/2,z+1/2'
'-x+1/2,y+1/2,z'
'x+1/2,-y+1/2,z+1/2'
loop_
_atom_site_label
_atom_site_type_symbol
_atom_site_fract_x
_atom_site_fract_y
_atom_site_fract_z
_atom_site_occupancy
Tl1 Tl 0.000 0.212 0.000 1
Cu1 Cu 0.000 0.002 0.726 1
Cu2 Cu 0.122 0.373 0.665 1
Pd1 Pd 0.000 0.190 0.492 1
Pd2 Pd 0.000 0.435 0.230 1
Pd3 Pd 0.227 0.021 0.462 1
Pd4 Pd 0.236 0.298 0.265 1
```

***

Stability ranking, top entry: run w; the second entry is 119 meV per atom less favorable.

***

Run w
This record from Alexandria describes crystalline TlCuPd3 at its relaxed geometry. The functional is PBE-GGA.

The structure in CIF format:
```
data_TlCuPd3
_symmetry_space_group_name_H-M 'P 1 21/m 1'
_symmetry_Int_Tables_number 11
_cell_length_a 4.987
_cell_length_b 4.618
_cell_length_c 7.391
_cell_angle_alpha 90.00
_cell_angle_beta 107.64
_cell_angle_gamma 90.00
loop_
_symmetry_equiv_pos_as_xyz
'x,y,z'
'-x,-y,-z'
'-x,y+1/2,-z'
'x,-y+1/2,z'
loop_
_atom_site_label
_atom_site_type_symbol
_atom_site_fract_x
_atom_site_fract_y
_atom_site_fract_z
_atom_site_occupancy
Tl1 Tl 0.076 0.250 0.306 1
Cu1 Cu 0.458 0.250 0.094 1
Pd1 Pd 0.152 0.750 0.086 1
Pd2 Pd 0.277 0.250 0.722 1
Pd3 Pd 0.338 0.750 0.509 1
```

***

Run x
This record from Alexandria describes crystalline TlCuPd3 at its relaxed geometry. The functional is PBE-GGA.

The structure in CIF format:
```
data_TlCuPd3
_symmetry_space_group_name_H-M 'C m c m'
_symmetry_Int_Tables_number 63
_symmetry_space_group_name_Hall '-C 2c 2'
_cell_length_a 4.159
_cell_length_b 18.567
_cell_length_c 4.193
_cell_angle_alpha 90.00
_cell_angle_beta 90.00
_cell_angle_gamma 90.00
loop_
_atom_site_label
_atom_site_type_symbol
_atom_site_fract_x
_atom_site_fract_y
_atom_site_fract_z
_atom_site_occupancy
Tl1 Tl 0.000 0.149 0.250 1
Cu1 Cu 0.000 0.352 0.250 1
Pd1 Pd 0.000 0.051 0.750 1
Pd2 Pd 0.000 0.250 0.750 1
Pd3 Pd 0.000 0.449 0.750 1
```

***

Run y
This record from Alexandria describes crystalline TlCuPd3 at its relaxed geometry. The functional is PBE-GGA.

The structure in CIF format:
```
data_TlCuPd3
_symmetry_space_group_name_H-M 'P m -3 m'
_symmetry_Int_Tables_number 221
_symmetry_space_group_name_Hall '-P 4 2 3'
_cell_length_a 4.661
_cell_length_b 4.661
_cell_length_c 4.661
_cell_angle_alpha 90.00
_cell_angle_beta 90.00
_cell_angle_gamma 90.00
loop_
_atom_site_label
_atom_site_type_symbol
_atom_site_fract_x
_atom_site_fract_y
_atom_site_fract_z
_atom_site_occupancy
Tl1 Tl 0.000 0.000 0.000 1
Cu1 Cu 0.500 0.500 0.500 1
Pd1 Pd 0.000 0.500 0.500 1
```

***

Stability ranking, top entry: run x; the second entry is 8 meV per atom less favorable.

***

Run w
This record from Alexandria describes crystalline Tm6CuPd2 at its relaxed geometry. The functional is PBE-GGA.

The structure in CIF format:
```
data_Tm6CuPd2
_symmetry_space_group_name_H-M 'I m m m'
_symmetry_Int_Tables_number 71
_symmetry_space_group_name_Hall '-I 2 2'
_cell_length_a 9.389
_cell_length_b 9.405
_cell_length_c 9.936
_cell_angle_alpha 90.00
_cell_angle_beta 90.00
_cell_angle_gamma 90.00
loop_
_atom_site_label
_atom_site_type_symbol
_atom_site_fract_x
_atom_site_fract_y
_atom_site_fract_z
_atom_site_occupancy
Tm1 Tm 0.000 0.204 0.170 1
Tm2 Tm 0.176 0.227 0.500 1
Tm3 Tm 0.187 0.500 0.253 1
Cu1 Cu 0.000 0.500 0.000 1
Cu2 Cu 0.000 0.500 0.500 1
Pd1 Pd 0.000 0.000 0.366 1
Pd2 Pd 0.161 0.000 0.000 1
```

***

Run x
This record from Alexandria describes crystalline Tm6CuPd2 at its relaxed geometry. The functional is PBE-GGA.

The structure in CIF format:
```
data_Tm6CuPd2
_symmetry_space_group_name_H-M 'P 1 21/c 1'
_symmetry_Int_Tables_number 14
_cell_length_a 6.620
_cell_length_b 7.215
_cell_length_c 11.109
_cell_angle_alpha 90.00
_cell_angle_beta 120.91
_cell_angle_gamma 90.00
loop_
_symmetry_equiv_pos_as_xyz
'x,y,z'
'-x,-y,-z'
'-x,y+1/2,-z+1/2'
'x,-y+1/2,z+1/2'
loop_
_atom_site_label
_atom_site_type_symbol
_atom_site_fract_x
_atom_site_fract_y
_atom_site_fract_z
_atom_site_occupancy
Tm1 Tm 0.083 0.037 0.243 1
Tm2 Tm 0.214 0.682 0.069 1
Tm3 Tm 0.380 0.171 0.061 1
Cu1 Cu 0.500 0.000 0.500 1
Pd1 Pd 0.319 0.121 0.762 1
```

***

Stability ranking, top entry: run w; the second entry is 55 meV per atom less favorable.